Entry 1:
Material: MgSc2PW
Method: DFT, GGA-PBE
State: relaxed

Cell: 4.8683 4.5885 4.8683 Å, 90.00 90.00 90.00°
Positions (direct):
Sc: 0.0000 0.0000 0.5000
Sc: 0.5000 0.0000 0.0000
P: 0.0000 0.0000 0.0000
Mg: 0.0000 0.5000 0.0000
W: 0.5000 0.5000 0.5000

Calculated values
**Total magnetization**: 0.244 μB per atom
**SG**: P4/mmm, No. 123
**E**: -6.1162 eV per atom
**Energy of formation from the pure elements**: 0.408 eV/atom



Entry 2:
Material: RbPt
Method: DFT, GGA-PBE
State: relaxed

Cell: 3.0868 3.0868 5.2155 Å, 90.00 90.00 90.00°
Positions (direct):
Rb: 0.0000 0.0000 0.0000
Pt: 0.5000 0.5000 0.5000

Calculated values
**Total magnetization**: 0.000 μB per atom
**SG**: P4/mmm, No. 123
**E**: -3.1103 eV per atom
**Energy of formation from the pure elements**: 0.394 eV/atom



Entry 3:
Material: In2TeP
Method: DFT, GGA-PBE
State: relaxed

Cell: 5.6757 5.6757 6.4012 Å, 61.47 61.47 38.76°
Positions (direct):
In: 0.0387 0.0387 0.0055
In: 0.8367 0.8367 0.7620
P: 0.4221 0.4221 0.3827
Te: 0.2025 0.2025 0.3498

Calculated values
**Total magnetization**: 0.000 μB per atom
**SG**: Cm, No. 8
**Formation energy from raw total energies**: 0.08 eV/atom
**E**: -3.4221 eV per atom



Question: Number 2 is which compound?
Answer: RbPt



Question: Which value of E does entry 2 give?
Answer: -3.1103 eV per atom



Question: What is the E in the first record?
Answer: -6.1162 eV per atom